(1)
Compound: Li2InW
Source: the Alexandria database
Functional: SCAN
Structure: single point on PBEsol structure

Computed properties:
- energy (eV/atom) = -26.600
- crystal system = monoclinic
- magnetic moment (μB per atom) = 0.000
- DOS at the Fermi energy (states/eV per cell) = 2.3

Cell: 2.738 4.851 5.074 Å, 90.00 92.58 90.00°
Sites, in units of the cell vectors:
Li 0.812 0.000 0.781
W 0.500 0.500 0.000
In 0.000 0.500 0.500
Li 0.188 0.000 0.219



(2)
Compound: BeAgBr2
Source: the Alexandria database
Functional: SCAN
Structure: single point on PBEsol structure

Computed properties:
- energy relative to the lowest polymorph listed for this composition (eV per formula unit) = 0.00
- energy (eV/atom) = -18.806
- formation energy from raw total energies (eV per atom) = -0.146
- crystal system = orthorhombic
- magnetic moment (μB per atom) = 0.000
- DOS at the Fermi energy (states/eV per cell) = 0.4

Cell: 3.196 3.509 9.772 Å, 90.00 90.00 117.09°
Sites, in units of the cell vectors:
Br 0.000 0.000 0.161
Ag 0.500 0.000 0.500
Br 0.000 0.000 0.839
Be 0.500 0.000 0.000



(3)
Compound: CaScNbB2
Source: the Alexandria database
Functional: SCAN
Structure: single point on PBEsol structure

Computed properties:
- energy (eV/atom) = -12.566
- crystal system = tetragonal
- magnetic moment (μB per atom) = 0.000
- DOS at the Fermi energy (states/eV per cell) = 2.7

Cell: 4.296 4.296 4.407 Å, 90.00 90.00 90.00°
Sites, in units of the cell vectors:
Nb 0.500 0.500 0.500
Sc 0.000 0.000 0.000
B 0.500 0.000 0.000
Ca 0.000 0.000 0.500
B 0.000 0.500 0.000